# 1
Below is a relaxed structure of PmCoSi, with properties calculated at the PBE level.

```
PmCoSi
1.0
-0.522 -3.708 -1.456
3.826 -0.059 -1.224
1.926 -2.686 6.151
Co Pm Si
2 2 2
direct
0.000 0.000 0.500
0.500 0.500 0.500
0.000 0.500 0.186
0.500 0.000 0.814
0.500 0.000 0.328
0.000 0.500 0.672
```

Results
Its energy above the most stable polymorph in this dataset is 0 meV/atom.

***

# 2
Below is a relaxed structure of CsLuPO, with properties calculated at the PBE level.

```
CsLuPO
1.0
-1.698 2.304 -1.911
-4.616 -5.762 -2.845
-5.445 1.237 6.329
Cs Lu O P
2 2 2 2
direct
0.000 0.367 0.070
0.000 0.633 0.570
0.500 0.162 0.474
0.500 0.838 0.974
0.000 0.293 0.421
0.000 0.707 0.921
0.500 0.885 0.289
0.500 0.115 0.789
```

Results
Its energy above the most stable polymorph in this dataset is 0 meV/atom.

***

# 3
Below is a relaxed structure of Gd3TmSn2C2, with properties calculated at the PBE level.

```
Gd3TmSn2C2
1.0
-1.343 -0.598 -3.325
3.588 0.337 0.477
1.165 -15.772 2.366
C Gd Sn Tm
2 3 2 1
direct
0.333 0.667 0.501
0.333 0.667 0.997
0.667 0.333 0.083
0.667 0.333 0.415
0.000 0.000 0.586
0.000 0.000 0.249
0.667 0.333 0.754
0.000 0.000 0.916
```

***

# 4
Below is a relaxed structure of YMgFeAs, with properties calculated at the PBE level.

```
YMgFeAs
1.0
-3.051 -3.010 -2.127
-4.716 0.716 0.370
-2.509 1.434 -3.813
As Fe Mg Y
1 1 1 1
direct
0.000 0.000 0.000
0.500 0.500 0.500
0.750 0.750 0.750
0.250 0.250 0.250
```

Results
Its energy above the most stable polymorph in this dataset is 0 meV/atom.

***

| no. | ρ (g cm⁻³) | uncorrected energy (eV per atom) |
| --- | --- | --- |
| 1 | 6.8 | -6.460 |
| 2 | 5.1 | -5.425 |
| 3 | 8.2 | -6.120 |
| 4 | 5.2 | -5.375 |